The following is a DFT calculation (PBE) of crystalline CrOs2Pb at its relaxed geometry. Values from VASP.

```
&SYSTEM
  ibrav = 0, nat = 4, ntyp = 3
/
ATOMIC_SPECIES
Cr 52.00 Cr.upf
Os 190.23 Os.upf
Pb 207.20 Pb.upf
CELL_PARAMETERS angstrom
9.231 0.010 0.006
8.777 2.859 0.006
8.777 1.398 2.494
ATOMIC_POSITIONS angstrom
Cr 19.879 3.167 1.859
Os 0.056 0.009 0.005
Os 6.929 1.104 0.648
Pb 13.313 2.121 1.245
```

Output
- Space-group type: R3m (160)
- Formation enthalpy at 0 K: 3.27 eV/f.u.
- Magnetization: 0.0823 μB/atom
- Energy: -8.13 eV per atom

***

The following is a DFT calculation (PBE) of crystalline CrOs2Pb at its relaxed geometry. Values from VASP.

```
&SYSTEM
  ibrav = 0, nat = 4, ntyp = 3
/
ATOMIC_SPECIES
Cr 52.00 Cr.upf
Os 190.23 Os.upf
Pb 207.20 Pb.upf
CELL_PARAMETERS angstrom
4.488 0.000 0.000
2.244 3.887 0.000
2.244 1.296 3.665
ATOMIC_POSITIONS angstrom
Cr 4.488 2.591 1.832
Os 0.000 0.000 0.000
Os 6.732 3.887 2.748
Pb 2.244 1.296 0.916
```

Output
- Space-group type: F-43m (216)
- Formation enthalpy at 0 K: 3.91 eV/f.u.
- Magnetization: 0.2844 μB/atom
- Energy: -7.97 eV per atom

***

The following is a DFT calculation (PBE) of crystalline CrOsPb at its relaxed geometry. Values from VASP.

```
&SYSTEM
  ibrav = 0, nat = 3, ntyp = 3
/
ATOMIC_SPECIES
Cr 52.00 Cr.upf
Os 190.23 Os.upf
Pb 207.20 Pb.upf
CELL_PARAMETERS angstrom
4.000 0.000 0.000
-2.000 3.464 0.000
0.000 0.000 4.251
ATOMIC_POSITIONS angstrom
Cr 0.000 0.000 0.565
Os 2.000 1.155 0.847
Pb 0.000 2.309 2.839
```

Output
- Space-group type: P3m1 (156)
- Formation enthalpy at 0 K: 2.58 eV/f.u.
- Magnetization: 0.2237 μB/atom
- Energy: -7.33 eV per atom